Record 1
K4MnPd2 | the Alexandria database | PBE-GGA | optimized geometry; ΔE_f = 0.641 eV/atom; N(E_F) = 0.936 states/eV per atom; crystal system = tetragonal; total magnetic moment = 4.47 μB per cell; symmetry = I4/mmm, No. 139
1.0
-3.843 -3.977 3.121
3.708 0.446 5.136
-4.301 4.311 6.657
K Mn Pd
4 1 2
Direct
0.775 0.775 0.449
0.225 0.225 0.551
0.000 0.500 0.000
0.500 0.000 0.000
0.000 0.000 0.000
0.584 0.584 0.833
0.416 0.416 0.167


Record 2
KMnPd | the Alexandria database | PBE-GGA | optimized geometry; ΔE_f = 0.270 eV/atom; N(E_F) = 0.864 states/eV per atom; crystal system = triclinic; total magnetic moment = 0.00 μB per cell; symmetry = P-1, No. 2
1.0
-2.829 2.024 -1.780
-7.109 -2.186 9.075
-0.214 3.872 0.453
K Mn Pd
2 2 2
Direct
0.693 0.187 0.096
0.307 0.813 0.904
0.333 0.499 0.833
0.667 0.501 0.167
0.010 0.382 0.473
0.990 0.618 0.527


Record 3
KMnPd | the Alexandria database | PBE-GGA | optimized geometry; ΔE_f = 0.363 eV/atom; N(E_F) = 0.822 states/eV per atom; crystal system = triclinic; total magnetic moment = 9.35 μB per cell; symmetry = P-1, No. 2
1.0
4.358 -0.014 0.009
2.093 6.397 0.527
-2.155 0.419 6.090
K Mn Pd
2 2 2
Direct
0.110 0.698 0.856
0.674 0.989 0.312
0.825 0.261 0.875
0.960 0.425 0.294
0.257 0.205 0.684
0.527 0.481 0.485


Record 4
KMnPd | the Alexandria database | PBE-GGA | optimized geometry; ΔE_f = 0.270 eV/atom; N(E_F) = 0.904 states/eV per atom; crystal system = triclinic; total magnetic moment = 0.00 μB per cell; symmetry = P1, No. 1
1.0
-3.412 0.724 -1.753
-4.526 -10.688 2.531
-3.084 1.131 2.117
K Mn Pd
2 2 2
Direct
0.667 0.656 0.005
0.648 0.031 0.310
0.991 0.343 0.489
0.658 0.343 0.156
0.321 0.226 0.880
0.328 0.461 0.765